Entry w
Material: SrZn2Hg2
Method: DFT, PBE
State: relaxed

Output
Its size of the total moment is 0.0000 μB per atom. Its symmetry is P-1.

Cell: 6.303 6.812 7.468 Å, 82.93 65.16 59.36°
Atoms (fractional coordinates):
Zn 0.494 0.316 0.944
Zn 0.506 0.684 0.056
Zn 0.752 0.186 0.557
Zn 0.248 0.814 0.443
Sr 0.125 0.244 0.750
Sr 0.875 0.756 0.250
Hg 0.834 0.830 0.796
Hg 0.519 0.340 0.302
Hg 0.481 0.660 0.698
Hg 0.166 0.170 0.204



Entry x
Material: SrZn2Hg2
Method: DFT, PBE
State: relaxed

Output
Its size of the total moment is 0.0000 μB per atom. Its symmetry is P4/mbm.

Cell: 8.221 8.221 3.745 Å, 90.00 90.00 90.00°
Atoms (fractional coordinates):
Sr 0.500 0.500 0.000
Sr 0.000 0.000 0.000
Zn 0.668 0.832 0.500
Zn 0.832 0.332 0.500
Zn 0.168 0.668 0.500
Zn 0.332 0.168 0.500
Hg 0.130 0.370 0.000
Hg 0.630 0.130 0.000
Hg 0.370 0.870 0.000
Hg 0.870 0.630 0.000



Quick one: least stable of them? entry x



Entry w
Material: SrZn2Hg2
Method: DFT, PBE
State: relaxed

Output
Its size of the total moment is 0.0000 μB per atom. Its symmetry is I4/mmm.

Cell: 4.685 4.685 6.417 Å, 68.59 68.59 90.00°
Atoms (fractional coordinates):
Hg 0.250 0.750 0.500
Hg 0.750 0.250 0.500
Zn 0.387 0.387 0.226
Zn 0.613 0.613 0.774
Sr 0.000 0.000 0.000



Entry x
Material: SrZn2Hg2
Method: DFT, PBE
State: relaxed

Output
Its size of the total moment is 0.0000 μB per atom. Its symmetry is P4/mbm.

Cell: 8.074 8.074 3.759 Å, 90.00 90.00 90.00°
Atoms (fractional coordinates):
Zn 0.887 0.613 0.000
Zn 0.113 0.387 0.000
Zn 0.387 0.887 0.000
Zn 0.613 0.113 0.000
Hg 0.683 0.817 0.500
Hg 0.183 0.683 0.500
Hg 0.317 0.183 0.500
Hg 0.817 0.317 0.500
Sr 0.000 0.000 0.000
Sr 0.500 0.500 0.000



Quick one: least stable of them? entry x



Entry w
Material: Sr7Zn2Hg2
Method: DFT, PBE
State: relaxed

Output
Its size of the total moment is 0.0000 μB per atom. Its symmetry is Imm2.

Cell: 4.467 10.614 10.614 Å, 60.85 77.85 77.85°
Atoms (fractional coordinates):
Hg 0.500 0.338 0.662
Hg 0.000 0.768 0.232
Sr 0.500 0.010 0.990
Sr 0.613 0.488 0.286
Sr 0.387 0.714 0.512
Sr 0.814 0.082 0.289
Sr 0.863 0.405 0.868
Sr 0.186 0.711 0.918
Sr 0.137 0.132 0.595
Zn 0.258 0.345 0.139
Zn 0.742 0.861 0.655



Entry x
Material: Sr7Zn2Hg2
Method: DFT, PBE
State: relaxed

Output
Its size of the total moment is 0.0000 μB per atom. Its symmetry is Cmmm.

Cell: 7.644 8.139 7.644 Å, 89.98 111.05 90.02°
Atoms (fractional coordinates):
Sr 0.500 0.749 0.500
Sr 0.000 0.730 0.500
Sr 0.500 0.730 0.000
Sr 0.000 0.270 0.500
Sr 0.000 0.000 0.000
Sr 0.500 0.251 0.500
Sr 0.500 0.270 0.000
Hg 0.825 0.500 0.825
Hg 0.175 0.500 0.175
Zn 0.293 0.000 0.707
Zn 0.707 0.000 0.293



Quick one: least stable of them? entry x



Entry w
Material: Sr8Zn2Hg
Method: DFT, PBE
State: relaxed

Output
Its size of the total moment is 0.0000 μB per atom. Its symmetry is C2/m.

Cell: 5.689 7.952 10.706 Å, 106.09 105.41 90.00°
Atoms (fractional coordinates):
Sr 0.207 0.326 0.414
Sr 0.330 0.029 0.660
Sr 0.406 0.550 0.812
Sr 0.036 0.794 0.072
Sr 0.670 0.971 0.340
Sr 0.594 0.450 0.188
Sr 0.793 0.674 0.586
Sr 0.964 0.206 0.928
Hg 0.500 0.000 0.000
Zn 0.815 0.285 0.629
Zn 0.185 0.715 0.371



Entry x
Material: Sr8Zn2Hg
Method: DFT, PBE
State: relaxed

Output
Its size of the total moment is 0.0000 μB per atom. Its symmetry is Cm.

Cell: 6.866 8.851 8.851 Å, 111.29 100.12 100.12°
Atoms (fractional coordinates):
Zn 0.487 0.318 0.692
Zn 0.487 0.692 0.318
Sr 0.579 0.078 0.341
Sr 0.982 0.784 0.218
Sr 0.379 0.664 0.929
Sr 0.175 0.366 0.366
Sr 0.379 0.929 0.664
Sr 0.579 0.341 0.078
Sr 0.799 0.641 0.641
Sr 0.982 0.218 0.784
Hg 0.171 0.004 0.004



Quick one: least stable of them? entry x



Entry w
Material: SrZr2ZnHg
Method: DFT, PBE
State: relaxed

Output
Its size of the total moment is 0.0000 μB per atom. Its symmetry is P4/mmm.

Cell: 5.309 5.206 5.309 Å, 90.00 90.00 90.00°
Atoms (fractional coordinates):
Zr 0.000 0.000 0.500
Zr 0.500 0.000 0.000
Hg 0.500 0.500 0.500
Sr 0.000 0.000 0.000
Zn 0.000 0.500 0.000



Entry x
Material: SrZr2ZnHg
Method: DFT, PBE
State: relaxed

Output
Its size of the total moment is 0.3212 μB per atom. Its symmetry is P4/mmm.

Cell: 5.477 5.040 5.477 Å, 90.00 90.00 90.00°
Each line ends with the local moment (μB).
Atoms (fractional coordinates):
Zr 0.500 0.000 0.000  0.47
Zr 0.000 0.000 0.500  0.36
Zn 0.000 0.500 0.000  0.00
Hg 0.000 0.000 0.000  0.02
Sr 0.500 0.500 0.500  0.07



Quick one: least stable of them? entry w



Entry w
Material: Ta5Hg
Method: DFT, PBE
State: relaxed

Output
Its size of the total moment is 0.0000 μB per atom. Its symmetry is P-62m.

Cell: 5.144 5.144 4.933 Å, 90.00 90.00 120.00°
Atoms (fractional coordinates):
Ta 0.344 0.344 0.000
Ta 0.667 0.333 0.500
Ta 0.000 0.656 0.000
Ta 0.333 0.667 0.500
Ta 0.656 0.000 0.000
Hg 0.000 0.000 0.500



Entry x
Material: Ta5Hg
Method: DFT, PBE
State: relaxed

Output
Its size of the total moment is 0.0000 μB per atom. Its symmetry is F-43m.

Cell: 5.476 5.476 5.476 Å, 60.00 60.00 60.00°
Atoms (fractional coordinates):
Ta 0.623 0.131 0.623
Ta 0.623 0.623 0.623
Ta 0.250 0.250 0.250
Ta 0.131 0.623 0.623
Ta 0.623 0.623 0.131
Hg 0.000 0.000 0.000



Quick one: least stable of them? entry x